Record 1
Zn5SnIr6 | PBE | relaxed

```
data_Zn5SnIr6
_chemical_formula_sum 'Zn10 Sn2 Ir12'
_space_group_name_H-M_alt 'I m m m'
_space_group_IT_number 71
_space_group_name_Hall '-I 2 2'
_cell_length_a 4.344
_cell_length_b 6.170
_cell_length_c 13.024
_cell_angle_alpha 90.00
_cell_angle_beta 90.00
_cell_angle_gamma 90.00
loop_
_atom_site_label
_atom_site_type_symbol
_atom_site_fract_x
_atom_site_fract_y
_atom_site_fract_z
_atom_site_occupancy
Zn1 Zn 0.000 0.000 0.000 1
Zn2 Zn 0.000 0.000 0.333 1
Zn3 Zn 0.000 0.500 0.332 1
Sn1 Sn 0.000 0.500 0.000 1
Ir1 Ir 0.000 0.246 0.169 1
Ir2 Ir 0.000 0.259 0.500 1
```

---

Record 2
# Zn3SnIr (PBE, relaxed)
data_Zn3SnIr
_chemical_formula_sum 'Zn3 Sn1 Ir1'
_space_group_name_H-M_alt 'P m -3 m'
_space_group_IT_number 221
_space_group_name_Hall '-P 4 2 3'
_cell_length_a 4.818
_cell_length_b 4.818
_cell_length_c 4.818
_cell_angle_alpha 90.00
_cell_angle_beta 90.00
_cell_angle_gamma 90.00
loop_
_atom_site_label
_atom_site_type_symbol
_atom_site_fract_x
_atom_site_fract_y
_atom_site_fract_z
_atom_site_occupancy
Zn1 Zn 0.000 0.000 0.500 1
Sn1 Sn 0.500 0.500 0.500 1
Ir1 Ir 0.000 0.000 0.000 1
# Energy above the lowest structure with this stoichiometry = 0.000 eV per formula unit

---

Record 3
ZnSnIr2 | PBE | relaxed

```
data_ZnSnIr2
_chemical_formula_sum 'Zn1 Sn1 Ir2'
_space_group_name_H-M_alt 'P 4/m m m'
_space_group_IT_number 123
_space_group_name_Hall '-P 4 2'
_cell_length_a 3.089
_cell_length_b 3.089
_cell_length_c 6.587
_cell_angle_alpha 90.00
_cell_angle_beta 90.00
_cell_angle_gamma 90.00
loop_
_atom_site_label
_atom_site_type_symbol
_atom_site_fract_x
_atom_site_fract_y
_atom_site_fract_z
_atom_site_occupancy
Zn1 Zn 0.000 0.000 0.000 1
Sn1 Sn 0.000 0.000 0.500 1
Ir1 Ir 0.500 0.500 0.239 1
```

---

Record 4
# Zn2SnIr2 (PBE, relaxed)
data_Zn2SnIr2
_chemical_formula_sum 'Zn4 Sn2 Ir4'
_space_group_name_H-M_alt 'P 4/m b m'
_space_group_IT_number 127
_space_group_name_Hall '-P 4 2ab'
_cell_length_a 7.385
_cell_length_b 7.385
_cell_length_c 2.920
_cell_angle_alpha 90.00
_cell_angle_beta 90.00
_cell_angle_gamma 90.00
loop_
_atom_site_label
_atom_site_type_symbol
_atom_site_fract_x
_atom_site_fract_y
_atom_site_fract_z
_atom_site_occupancy
Zn1 Zn 0.119 0.381 0.000 1
Sn1 Sn 0.000 0.000 0.000 1
Ir1 Ir 0.177 0.677 0.500 1
# Energy above the lowest structure with this stoichiometry = 0.406 eV per formula unit

---

Record 5
ZnSnIr | PBE | relaxed

```
data_ZnSnIr
_chemical_formula_sum 'Zn1 Sn1 Ir1'
_space_group_name_H-M_alt 'P m m m'
_space_group_IT_number 47
_space_group_name_Hall '-P 2 2'
_cell_length_a 2.986
_cell_length_b 4.369
_cell_length_c 4.540
_cell_angle_alpha 90.00
_cell_angle_beta 90.00
_cell_angle_gamma 90.00
loop_
_atom_site_label
_atom_site_type_symbol
_atom_site_fract_x
_atom_site_fract_y
_atom_site_fract_z
_atom_site_occupancy
Zn1 Zn 0.000 0.000 0.000 1
Sn1 Sn 0.000 0.500 0.500 1
Ir1 Ir 0.500 0.500 0.000 1
```

---

Record 6
ZnSn2Ir | PBE | relaxed

```
data_ZnSn2Ir
_chemical_formula_sum 'Zn3 Sn6 Ir3'
_space_group_name_H-M_alt 'R -3 m'
_space_group_IT_number 166
_space_group_name_Hall '-R 3 2"'
_cell_length_a 3.5634
_cell_length_b 3.5634
_cell_length_c 26.2332
_cell_angle_alpha 90.00
_cell_angle_beta 90.00
_cell_angle_gamma 120.00
loop_
_atom_site_label
_atom_site_type_symbol
_atom_site_fract_x
_atom_site_fract_y
_atom_site_fract_z
_atom_site_occupancy
Zn1 Zn 0.0000 0.0000 0.0000 1
Sn1 Sn 0.0000 0.0000 0.1009 1
Ir1 Ir 0.0000 0.0000 0.5000 1
```

---

Record 7
# Zn2Sn2Ir (PBE, relaxed)
data_Zn2Sn2Ir
_chemical_formula_sum 'Zn4 Sn4 Ir2'
_space_group_name_H-M_alt 'P 4/m b m'
_space_group_IT_number 127
_space_group_name_Hall '-P 4 2ab'
_cell_length_a 6.771
_cell_length_b 6.771
_cell_length_c 4.155
_cell_angle_alpha 90.00
_cell_angle_beta 90.00
_cell_angle_gamma 90.00
loop_
_atom_site_label
_atom_site_type_symbol
_atom_site_fract_x
_atom_site_fract_y
_atom_site_fract_z
_atom_site_occupancy
Zn1 Zn 0.135 0.365 0.000 1
Sn1 Sn 0.177 0.677 0.500 1
Ir1 Ir 0.000 0.000 0.000 1
# Energy above the lowest structure with this stoichiometry = 0.000 eV per formula unit

---

Record 8
# Zr3SnIr (PBE, relaxed)
data_Zr3SnIr
_chemical_formula_sum 'Zr3 Sn1 Ir1'
_space_group_name_H-M_alt 'P m -3 m'
_space_group_IT_number 221
_space_group_name_Hall '-P 4 2 3'
_cell_length_a 5.062
_cell_length_b 5.062
_cell_length_c 5.062
_cell_angle_alpha 90.00
_cell_angle_beta 90.00
_cell_angle_gamma 90.00
loop_
_atom_site_label
_atom_site_type_symbol
_atom_site_fract_x
_atom_site_fract_y
_atom_site_fract_z
_atom_site_occupancy
Zr1 Zr 0.000 0.000 0.500 1
Sn1 Sn 0.500 0.500 0.500 1
Ir1 Ir 0.000 0.000 0.000 1
# Energy above the lowest structure with this stoichiometry = 0.000 eV per formula unit

---

One value per record, in order, for volume: 14.54, 22.37, 15.71, 15.92, 19.74, 24.04, 19.05, 25.95 A^3/atom.
One value per record, in order, for energy of formation from the pure elements: -0.156, 0.230, -0.084, 0.018, -0.059, 0.093, 0.203, -0.070 eV/atom.
One value per record, in order, for D(E_F): 10.9, 2.7, 1.5, 3.6, 1.5, 6.1, 7.3, 5.1 states/eV/cell.